# YGe2Ru2, relaxed, DFT PBE
data_YGe2Ru2
_chemical_formula_sum 'Y2 Ge4 Ru4'
_symmetry_space_group_name_H-M 'I 4/m m m'
_symmetry_Int_Tables_number 139
_symmetry_space_group_name_Hall '-I 4 2'
_cell_length_a 4.2671
_cell_length_b 4.2671
_cell_length_c 9.8892
_cell_angle_alpha 90.00
_cell_angle_beta 90.00
_cell_angle_gamma 90.00
loop_
_atom_site_label
_atom_site_type_symbol
_atom_site_fract_x
_atom_site_fract_y
_atom_site_fract_z
Y1 Y 0.0000 0.0000 0.0000
Ge1 Ge 0.0000 0.0000 0.3699
Ru1 Ru 0.0000 0.5000 0.2500
# ΔH_f (0 K)   -0.657 eV per atom
# Spin magnetization   0.00 μB per atom
# Density of states at the Fermi level   4.4 states/eV per cell